The following is a GGA-PBE calculation of a geometry-optimized Cs3Sm2YS6 structure, from the Alexandria database.

Computed properties:
As for the space group: No. 12. The calculated volume comes out at 30.42 Å³ per atom. The value obtained for the raw formation energy is -21.9 eV/f.u.

Geometry as extended XYZ:
```
12
Lattice="3.611 -6.254 0.000 3.611 6.254 0.000 -2.407 0.000 8.082" Properties=species:S:1:pos:R:3 pbc="T T T"
Cs 0.000 0.000 0.000
Cs 3.611 2.092 0.000
Cs 3.611 -2.092 0.000
Sm 2.407 4.169 4.041
Sm 2.407 -4.169 4.041
Y 2.407 0.000 4.041
S 1.221 2.054 2.557
S 0.035 0.000 5.528
S 1.221 -2.054 2.557
S 3.593 2.054 5.526
S 4.780 0.000 2.554
S 3.593 -2.054 5.526
```

The following is a GGA-PBE calculation of a geometry-optimized HfGeBiIr2N structure, from the Alexandria database.

Computed properties:
As for the space group: No. 8. Its energy relative to the lowest polymorph listed for this composition is 0.2515 eV per atom. The calculated volume comes out at 18.69 Å³ per atom. The value obtained for the raw formation energy is -1.5 eV/f.u.

Geometry as extended XYZ:
```
6
Lattice="5.826 -1.786 0.000 5.826 1.786 0.000 -3.424 0.000 5.388" Properties=species:S:1:pos:R:3 pbc="T T T"
Hf 0.000 0.000 0.000
Ge 0.665 0.000 3.947
Bi 9.447 0.000 2.378
Ir 5.783 0.000 2.286
Ir 5.199 0.000 5.044
N 6.793 0.000 0.488
```

The following is a GGA-PBE calculation of a geometry-optimized HfTiTcMo structure, from the Alexandria database.

Computed properties:
As for the space group: No. 216. The formation energy is -0.87 eV/f.u. The calculated volume comes out at 16.57 Å³ per atom.

Geometry as extended XYZ:
```
4
Lattice="0.000 3.212 3.212 3.212 0.000 3.212 3.212 3.212 0.000" Properties=species:S:1:pos:R:3 pbc="T T T"
Hf 0.000 0.000 0.000
Ti 3.212 3.212 3.212
Tc 4.818 4.818 4.818
Mo 1.606 1.606 1.606
```

The following is a GGA-PBE calculation of a geometry-optimized Sm4Dy3Cd structure, from the Alexandria database.

Computed properties:
As for the space group: No. 123. The formation energy is 0.21 eV/f.u. The calculated volume comes out at 31.47 Å³ per atom.

Geometry as extended XYZ:
```
8
Lattice="4.089 0.000 0.000 0.000 4.089 0.000 0.000 0.000 15.054" Properties=species:S:1:pos:R:3 pbc="T T T"
Sm 0.000 0.000 1.737
Sm 0.000 0.000 5.657
Sm 0.000 0.000 9.397
Sm 0.000 0.000 13.318
Dy 2.045 2.045 3.764
Dy 2.045 2.045 7.527
Dy 2.045 2.045 11.290
Cd 2.045 2.045 0.000
```

The following is a GGA-PBE calculation of a geometry-optimized Na2LaSnTe4 structure, from the Alexandria database.

Computed properties:
As for the space group: No. 10. The calculated volume comes out at 33.63 Å³ per atom. The value obtained for the raw formation energy is -7.4 eV/f.u.

Geometry as extended XYZ:
```
8
Lattice="7.914 0.000 0.000 0.000 4.495 0.000 -2.593 0.000 7.562" Properties=species:S:1:pos:R:3 pbc="T T T"
Na 0.000 0.000 0.000
Na 3.957 2.248 0.000
La -1.296 2.248 3.781
Sn 2.660 0.000 3.781
Te 0.112 0.000 5.592
Te 1.408 2.248 2.001
Te 3.912 2.248 5.561
Te 5.209 0.000 1.970
```

The following is a GGA-PBE calculation of a geometry-optimized ZnAg6 structure, from the Alexandria database.

Computed properties:
As for the space group: No. 229. The formation energy is 5.44 eV/f.u. Its energy relative to the lowest polymorph listed for this composition is 0.7440 eV per atom. The calculated volume comes out at 30.63 Å³ per atom.

Geometry as extended XYZ:
```
7
Lattice="-3.770 3.770 3.770 3.770 -3.770 3.770 3.770 3.770 -3.770" Properties=species:S:1:pos:R:3 pbc="T T T"
Zn 0.000 0.000 0.000
Ag 3.770 1.885 0.000
Ag 3.770 0.000 1.885
Ag 1.885 3.770 0.000
Ag 1.885 0.000 3.770
Ag 0.000 3.770 1.885
Ag 0.000 1.885 3.770
```